The following is a DFT calculation (PBE-GGA) of a relaxed structure of HfTlH.

Summary:
Total moment, μB per cell: 0.00
Symmetry: I4mm, No. 107
Total energy, eV/f.u.: -15.52
Excess energy over the best structure of this formula in the dataset, eV/f.u.: 0.830

Unit cell a=3.0390 b=3.0390 c=5.9252 alpha=104.86 beta=104.86 gamma=90.00
Closest atoms and distances in Å follow each position.
Fractional positions:
Hf 0.7299 0.7299 0.4597  4 H 2.19
H 0.2686 0.2686 0.5372  4 Hf 2.19
Tl 0.0015 0.0015 0.0031  1 H 2.95, 1 Hf 3.00, 4 Tl 3.04

---

The following is a DFT calculation (PBE-GGA) of a relaxed structure of MgV2RhSe.

Summary:
Total moment, μB per cell: 3.20
ΔE_f (raw), kJ/mol of atoms: 63
Symmetry: P4/mmm, No. 123
Total energy, eV/f.u.: -27.42

Unit cell a=4.4966 b=4.7264 c=4.4966 alpha=90.00 beta=90.00 gamma=90.00
Closest atoms and distances in Å follow each position.
Fractional positions:
V 0.5000 0.0000 0.0000  2 Se 2.25
V 0.0000 0.0000 0.5000  2 Se 2.25
Rh 0.5000 0.5000 0.5000  4 Mg 3.18, 8 V 3.26
Mg 0.0000 0.5000 0.0000  2 Se 2.36
Se 0.0000 0.0000 0.0000  4 V 2.25, 2 Mg 2.36